(1)
A plane-wave DFT calculation with PBE was carried out for crystalline SrMg3Pt3 at its relaxed geometry.

Unit cell a=7.128 b=7.128 c=7.128 alpha=90.00 beta=90.00 gamma=90.00
Atoms (fractional coordinates):
Sr1 0.000 0.000 0.000
Sr2 0.500 0.500 0.500
Mg1 0.000 0.250 0.500
Mg2 0.000 0.750 0.500
Mg3 0.250 0.500 0.000
Mg4 0.500 0.000 0.250
Mg5 0.500 0.000 0.750
Mg6 0.750 0.500 0.000
Pt1 0.000 0.500 0.250
Pt2 0.000 0.500 0.750
Pt3 0.250 0.000 0.500
Pt4 0.500 0.250 0.000
Pt5 0.500 0.750 0.000
Pt6 0.750 0.000 0.500

Its space-group type is Pm-3n, No. 223. The raw total energy comes out at -3.830 eV/atom.

(2)
A plane-wave DFT calculation with PBE was carried out for crystalline SrMgPt3 at its relaxed geometry.

Unit cell a=5.210 b=5.210 c=5.210 alpha=90.00 beta=90.00 gamma=90.00
Atoms (fractional coordinates):
Sr1 0.000 0.000 0.000
Mg1 0.500 0.500 0.500
Pt1 0.000 0.000 0.500
Pt2 0.000 0.500 0.000
Pt3 0.500 0.000 0.000

Its space-group type is Pm-3m, No. 221. The calculation puts the excess energy over the best structure of this formula in the dataset at 1254 meV/atom.

(3)
A plane-wave DFT calculation with PBE was carried out for crystalline SrMg2Pt at its relaxed geometry.

Unit cell a=4.686 b=4.686 c=6.197 alpha=112.28 beta=112.28 gamma=60.05
Atoms (fractional coordinates):
Sr1 0.000 0.000 0.000
Mg1 0.529 0.529 0.587
Mg2 0.802 0.802 0.408
Pt1 0.188 0.188 0.565

Its space-group type is Cm, No. 8. The raw total energy comes out at -3.261 eV/atom.

(4)
A plane-wave DFT calculation with PBE was carried out for crystalline SrMgPt2 at its relaxed geometry.

Unit cell a=3.234 b=4.988 c=5.077 alpha=90.00 beta=90.12 gamma=90.00
Atoms (fractional coordinates):
Sr1 0.000 0.000 0.000
Mg1 0.005 0.500 0.531
Pt1 0.500 0.500 0.069
Pt2 0.501 0.000 0.499

Its space-group type is Pm, No. 6. The raw total energy comes out at -4.421 eV/atom.